No. 1
DFT (meta-GGA SCAN) results for a crystal of MgTeF3 relaxed with PBEsol.

a = 4.091 Å, b = 4.091 Å, c = 4.091 Å
α = 90.00°, β = 90.00°, γ = 90.00°
Atoms (fractional coordinates):
Mg 0.000 0.000 0.000
Te 0.500 0.500 0.500
F 0.000 0.000 0.500
F 0.000 0.500 0.000
F 0.500 0.000 0.000

Total energy, hartree per atom: -0.4693
Total moment, Bohr magnetons per cell: 2.91
Space group: Pm-3m (221)


No. 2
DFT (meta-GGA SCAN) results for a crystal of ZnSOF2 relaxed with PBEsol.

a = 3.760 Å, b = 3.760 Å, c = 4.342 Å
α = 90.00°, β = 90.00°, γ = 90.00°
Atoms (fractional coordinates):
Zn 0.000 0.000 0.000
S 0.500 0.500 0.500
O 0.000 0.000 0.500
F 0.000 0.500 0.000
F 0.500 0.000 0.000

Total energy, hartree per atom: -0.2909
Total moment, Bohr magnetons per cell: 1.83
E above lowest polymorph, meV/atom: 0.0
Space group: P4/mmm (123)


No. 3
DFT (meta-GGA SCAN) results for a crystal of Tl3PdW relaxed with PBEsol.

a = 5.153 Å, b = 5.153 Å, c = 5.153 Å
α = 90.00°, β = 90.00°, γ = 90.00°
Atoms (fractional coordinates):
Tl 0.000 0.000 0.500
Tl 0.000 0.500 0.000
Tl 0.500 0.000 0.000
Pd 0.000 0.000 0.000
W 0.500 0.500 0.500

Total energy, hartree per atom: -2.3010
Energy of formation from the pure elements, eV per atom: 1.294
Total moment, Bohr magnetons per cell: 4.42
E above lowest polymorph, meV/atom: 168.0
Space group: Pm-3m (221)


No. 4
DFT (meta-GGA SCAN) results for a crystal of NiIr2Se relaxed with PBEsol.

a = 8.324 Å, b = 8.324 Å, c = 8.324 Å
α = 19.43°, β = 19.43°, γ = 19.43°
Atoms (fractional coordinates):
Ni 0.000 0.000 0.000
Ir 0.252 0.252 0.252
Ir 0.748 0.748 0.748
Se 0.500 0.500 0.500

Total energy, hartree per atom: -1.6259
Total moment, Bohr magnetons per cell: 1.19
E above lowest polymorph, meV/atom: 0.0
Space group: R-3m (166)


No. 5
DFT (meta-GGA SCAN) results for a crystal of Sr4CoMo relaxed with PBEsol.

a = 6.561 Å, b = 6.561 Å, c = 6.561 Å
α = 60.00°, β = 60.00°, γ = 60.00°
Atoms (fractional coordinates):
Sr 0.125 0.125 0.125
Sr 0.125 0.125 0.625
Sr 0.125 0.625 0.125
Sr 0.625 0.125 0.125
Co 0.500 0.500 0.500
Mo 0.750 0.750 0.750

Total energy, hartree per atom: -0.8130
Energy of formation from the pure elements, eV per atom: 1.426
Total moment, Bohr magnetons per cell: 6.80
Space group: F-43m (216)


No. 6
DFT (meta-GGA SCAN) results for a crystal of TcMo2W relaxed with PBEsol.

a = 4.983 Å, b = 4.983 Å, c = 4.983 Å
α = 134.95°, β = 134.95°, γ = 65.61°
Atoms (fractional coordinates):
Tc 0.000 0.000 0.000
Mo 0.250 0.750 0.500
Mo 0.750 0.250 0.500
W 0.500 0.500 0.000

Total energy, hartree per atom: -1.5905
Energy of formation from the pure elements, eV per atom: 0.349
Total moment, Bohr magnetons per cell: 0.00
E above lowest polymorph, meV/atom: 345.3
Space group: I4/mmm (139)